Entry from the Alexandria database: an optimized crystal structure of CaAc2Ho (GGA-PBE).

Summary:
The raw total energy is -0.134 Ha/atom. The energy above the most stable polymorph in this dataset is 0.0 meV per atom. The calculation puts the magnetic moment at 0.00 Bohr magnetons per cell. The calculated volume comes out at 162.5 Å³/cell. As for the density of states at the Fermi level: 1.60 states/eV/atom. Its formation energy is 0.049 eV per atom.

Cell: 3.911 3.911 10.624 Å, 90.00 90.00 90.00°
Atoms (fractional coordinates):
Ho 0.500 0.500 0.000
Ac 0.000 0.000 0.766
Ac 0.000 0.000 0.234
Ca 0.500 0.500 0.500

Entry from the Alexandria database: an optimized crystal structure of CaAc2Ho (GGA-PBE).

Summary:
The raw total energy is -0.134 Ha/atom. The energy above the most stable polymorph in this dataset is 1.0 meV per atom. The calculation puts the magnetic moment at 0.00 Bohr magnetons per cell. The calculated volume comes out at 161.5 Å³/cell. As for the density of states at the Fermi level: 1.21 states/eV/atom. Its formation energy is 0.050 eV per atom.

Cell: 3.853 3.853 12.757 Å, 81.31 81.31 60.00°
Atoms (fractional coordinates):
Ho 0.667 0.667 0.000
Ac 0.255 0.255 0.235
Ca 0.500 0.500 0.501
Ac 0.078 0.078 0.765

Entry from the Alexandria database: an optimized crystal structure of CaAc4Ho (GGA-PBE).

Summary:
The raw total energy is -0.140 Ha/atom. The energy above the most stable polymorph in this dataset is 0.0 meV per atom. The calculation puts the magnetic moment at 0.00 Bohr magnetons per cell. The calculated volume comes out at 252.5 Å³/cell. As for the density of states at the Fermi level: 1.61 states/eV/atom. Its formation energy is 0.039 eV per atom.

Cell: 3.960 3.960 16.101 Å, 90.00 90.00 90.00°
Atoms (fractional coordinates):
Ac 0.500 0.500 0.823
Ac 0.000 0.000 0.346
Ho 0.500 0.500 0.500
Ac 0.000 0.000 0.654
Ca 0.000 0.000 0.000
Ac 0.500 0.500 0.177

Entry from the Alexandria database: an optimized crystal structure of Ca2AcHo (GGA-PBE).

Summary:
The raw total energy is -0.113 Ha/atom. The energy above the most stable polymorph in this dataset is 0.0 meV per atom. The calculation puts the magnetic moment at 0.73 Bohr magnetons per cell. The calculated volume comes out at 156.7 Å³/cell. As for the density of states at the Fermi level: 1.43 states/eV/atom. Its formation energy is 0.103 eV per atom.

Cell: 3.806 3.806 12.678 Å, 81.37 81.37 60.00°
Atoms (fractional coordinates):
Ho 0.500 0.500 0.500
Ca 0.088 0.088 0.737
Ca 0.246 0.246 0.263
Ac 0.667 0.667 0.000

Entry from the Alexandria database: an optimized crystal structure of CaAc8Ho2 (GGA-PBE).

Summary:
The raw total energy is -0.140 Ha/atom. The calculation puts the magnetic moment at 0.00 Bohr magnetons per cell. The calculated volume comes out at 477.4 Å³/cell. As for the density of states at the Fermi level: 1.78 states/eV/atom. Its formation energy is 0.199 eV per atom.

Cell: 9.523 8.002 8.002 Å, 54.91 75.06 75.06°
Atoms (fractional coordinates):
Ac 0.782 0.620 0.620
Ac 0.690 0.146 0.655
Ca 0.000 0.000 0.000
Ho 0.032 0.757 0.757
Ho 0.968 0.243 0.243
Ac 0.310 0.345 0.854
Ac 0.218 0.380 0.380
Ac 0.690 0.655 0.146
Ac 0.310 0.854 0.345
Ac 0.612 0.181 0.181
Ac 0.388 0.819 0.819

Entry from the Alexandria database: an optimized crystal structure of CaAcHo2 (GGA-PBE).

Summary:
The raw total energy is -0.135 Ha/atom. The energy above the most stable polymorph in this dataset is 32.7 meV per atom. The calculation puts the magnetic moment at 0.00 Bohr magnetons per cell. The calculated volume comes out at 145.2 Å³/cell. As for the density of states at the Fermi level: 1.68 states/eV/atom. Its formation energy is 0.136 eV per atom.

Cell: 5.417 5.177 5.177 Å, 90.00 90.00 90.00°
Atoms (fractional coordinates):
Ho 0.000 0.000 0.500
Ho 0.000 0.500 0.000
Ac 0.500 0.500 0.500
Ca 0.500 0.000 0.000

Q: Look up the magnetic moment of the second one.
A: 0.00 Bohr magnetons per cell

Copy entry 4 word for word.
Entry from the Alexandria database: an optimized crystal structure of Ca2AcHo (GGA-PBE).

Summary:
The raw total energy is -0.113 Ha/atom. The energy above the most stable polymorph in this dataset is 0.0 meV per atom. The calculation puts the magnetic moment at 0.73 Bohr magnetons per cell. The calculated volume comes out at 156.7 Å³/cell. As for the density of states at the Fermi level: 1.43 states/eV/atom. Its formation energy is 0.103 eV per atom.

Cell: 3.806 3.806 12.678 Å, 81.37 81.37 60.00°
Atoms (fractional coordinates):
Ho 0.500 0.500 0.500
Ca 0.088 0.088 0.737
Ca 0.246 0.246 0.263
Ac 0.667 0.667 0.000

Q: raw total energy of number 6 (CaAcHo2)?
A: -0.135 Ha/atom